# 1
# Ba4PdI2Cl

Crystalline Ba4PdI2Cl at its relaxed geometry (PBE-GGA, the Alexandria database).

Lattice parameters (Å, degrees): 8.326 4.603 8.952 90.00 106.42 90.00
Sites, in units of the cell vectors:
Ba 0.221 0.000 0.205
Ba 0.250 0.500 0.786
Ba 0.750 0.500 0.214
Ba 0.779 0.000 0.795
Pd 0.000 0.500 0.000
I 0.000 0.000 0.500
I 0.500 0.500 0.500
Cl 0.500 0.000 0.000

Formation energy (no corrections) in eV/atom: -1.26
Space group: P2/m, No. 10

# 2
# Ba6Pd2I3Cl

Crystalline Ba6Pd2I3Cl at its relaxed geometry (PBE-GGA, the Alexandria database).

Lattice parameters (Å, degrees): 8.152 8.152 9.107 98.58 98.58 119.94
Sites, in units of the cell vectors:
Ba 0.083 0.432 0.794
Ba 0.219 0.219 0.205
Ba 0.432 0.083 0.794
Ba 0.568 0.917 0.206
Ba 0.781 0.781 0.795
Ba 0.917 0.568 0.206
Pd 0.167 0.833 0.000
Pd 0.833 0.167 0.000
I 0.000 0.000 0.500
I 0.338 0.662 0.500
I 0.662 0.338 0.500
Cl 0.500 0.500 0.000

Formation energy (no corrections) in eV/atom: -1.19
Space group: C2/m, No. 12

# 3
# Ba4PtI2Cl

Crystalline Ba4PtI2Cl at its relaxed geometry (PBE-GGA, the Alexandria database).

Lattice parameters (Å, degrees): 8.353 4.599 8.960 90.00 105.86 90.00
Sites, in units of the cell vectors:
Ba 0.215 0.000 0.200
Ba 0.243 0.500 0.788
Ba 0.757 0.500 0.212
Ba 0.785 0.000 0.800
Pt 0.000 0.500 0.000
I 0.000 0.000 0.500
I 0.500 0.500 0.500
Cl 0.500 0.000 0.000

Formation energy (no corrections) in eV/atom: -1.35
Space group: P2/m, No. 10

formation energy (no corrections) of number 1 (Ba4PdI2Cl)? -1.26 eV/atom